Entry 1:
DyHo2ErAs4: optimized geometry, GGA-PBE.

a = 4.102 Å, b = 7.100 Å, c = 7.100 Å
α = 70.53°, β = 90.00°, γ = 90.00°
Fractional coordinates of all 8 atoms:
Ho1 0.000 0.000 0.000
Ho2 0.500 0.000 0.500
As1 0.000 0.250 0.249
As2 0.000 0.750 0.751
As3 0.500 0.750 0.249
As4 0.500 0.250 0.751
Er1 0.500 0.500 0.000
Dy1 0.000 0.500 0.500

Calculated values
Calculated total energy, eV/cell: -49.15
Crystal system: monoclinic
Energy of formation, meV per atom: -1529
SG: P2/m, No. 10

---

Entry 2:
DyHo3Er2As6: optimized geometry, GGA-PBE.

a = 4.097 Å, b = 8.192 Å, c = 9.159 Å
α = 102.90°, β = 102.92°, γ = 90.00°
Fractional coordinates of all 12 atoms:
As1 0.333 0.417 0.666
As2 0.667 0.084 0.334
As3 0.667 0.583 0.334
As4 0.333 0.916 0.666
As5 0.000 0.749 0.999
As6 0.000 0.251 0.001
Er1 0.833 0.667 0.666
Er2 0.167 0.333 0.334
Ho1 0.833 0.167 0.667
Ho2 0.167 0.833 0.333
Ho3 0.500 0.500 0.000
Dy1 0.500 0.000 0.000

Calculated values
Calculated total energy, eV/cell: -73.68
Crystal system: monoclinic
Energy of formation, meV per atom: -1527
SG: C2/m, No. 12

---

Entry 3:
Dy2Ho3ErAs6: optimized geometry, GGA-PBE.

a = 4.104 Å, b = 8.204 Å, c = 9.173 Å
α = 102.90°, β = 102.93°, γ = 90.00°
Fractional coordinates of all 12 atoms:
Dy1 0.167 0.333 0.333
Dy2 0.833 0.667 0.667
Ho1 0.167 0.833 0.334
Ho2 0.833 0.167 0.666
Ho3 0.500 0.500 0.000
Er1 0.500 0.000 0.000
As1 0.666 0.584 0.333
As2 0.000 0.751 0.001
As3 0.000 0.249 0.999
As4 0.334 0.416 0.667
As5 0.666 0.082 0.333
As6 0.334 0.918 0.667

Calculated values
Calculated total energy, eV/cell: -73.75
Crystal system: monoclinic
Energy of formation, meV per atom: -1530
SG: C2/m, No. 12

---

Entry 4:
Dy3HoEr2As6: optimized geometry, GGA-PBE.

a = 7.107 Å, b = 7.107 Å, c = 7.105 Å
α = 99.58°, β = 99.58°, γ = 119.99°
Fractional coordinates of all 12 atoms:
Dy1 0.166 0.834 0.500
Dy2 0.834 0.166 0.500
Dy3 0.500 0.500 0.500
Er1 0.333 0.667 0.000
Er2 0.667 0.333 0.000
As1 0.083 0.417 0.248
As2 0.583 0.917 0.752
As3 0.917 0.583 0.752
As4 0.417 0.083 0.248
As5 0.251 0.251 0.752
As6 0.749 0.749 0.248
Ho1 0.000 0.000 0.000

Calculated values
Calculated total energy, eV/cell: -73.76
Crystal system: monoclinic
Energy of formation, meV per atom: -1530
SG: C2/m, No. 12

---

Entry 5:
Dy2HoEr3As6: optimized geometry, GGA-PBE.

a = 4.098 Å, b = 8.192 Å, c = 9.159 Å
α = 102.89°, β = 102.93°, γ = 90.00°
Fractional coordinates of all 12 atoms:
As1 0.333 0.918 0.666
As2 0.667 0.082 0.334
As3 0.666 0.584 0.332
As4 0.999 0.250 0.999
As5 0.334 0.416 0.668
As6 0.001 0.750 0.001
Dy1 0.167 0.333 0.333
Dy2 0.833 0.667 0.667
Er1 0.167 0.833 0.333
Er2 0.833 0.167 0.667
Er3 0.500 0.500 0.000
Ho1 0.500 0.000 0.000

Calculated values
Calculated total energy, eV/cell: -73.69
Crystal system: monoclinic
Energy of formation, meV per atom: -1527
SG: C2/m, No. 12

---

Entry 6:
La2DyEr3As6: optimized geometry, GGA-PBE.

a = 4.192 Å, b = 8.375 Å, c = 9.361 Å
α = 102.87°, β = 102.94°, γ = 90.00°
Fractional coordinates of all 12 atoms:
La1 0.165 0.331 0.331
La2 0.835 0.669 0.669
As1 0.004 0.751 0.008
As2 0.667 0.072 0.333
As3 0.337 0.408 0.674
As4 0.996 0.249 0.992
As5 0.663 0.592 0.326
As6 0.333 0.928 0.667
Er1 0.833 0.166 0.666
Er2 0.500 0.500 0.000
Er3 0.167 0.834 0.334
Dy1 0.500 0.000 0.000

Calculated values
Calculated total energy, eV/cell: -74.31
Crystal system: monoclinic
Energy of formation, meV per atom: -1522
SG: C2/m, No. 12

---

The calculation returns the following Fermi-level density of states values, one per record and in order: 1.02, 1.86, 1.86, 1.89, 1.84, 1.68 states/eV per cell.
The calculation returns the following total moment values, one per record and in order: 0.00, 0.00, 0.00, 0.00, 0.00, 0.00 μB/atom.